{
  "formula": "TcBr2N",
  "functional": "SCAN",
  "state": "PBEsol geometry",
  "cell": [[4.383, 0.000, 0.000], [2.192, 3.796, 0.000], [2.192, 1.265, 3.579]],
  "species": ["Tc", "Br", "Br", "N"],
  "frac_coords": [[0.500, 0.500, 0.500], [0.250, 0.250, 0.250], [0.750, 0.750, 0.750], [0.000, 0.000, 0.000]],
  "raw_formation_energy_kj_per_mol_atoms": 153.8,
  "n_ef_per_ev_cell": 1.6
}